## P
The following is a DFT calculation (PBE-GGA) of TlCd2Hg2 after structural relaxation.

Results
Mass density (g cm⁻³): 9.89
Total magnetic moment (μB per formula unit): 0.00
N(E_F) (states/eV/f.u.): 1.78

Unit cell a=4.498 b=4.498 c=13.782 alpha=90.00 beta=90.00 gamma=90.00
Atoms (fractional coordinates):
Tl 0.000 0.000 0.000
Tl 0.500 0.500 0.500
Cd 0.000 0.500 0.250
Cd 0.000 0.500 0.750
Cd 0.500 0.000 0.250
Cd 0.500 0.000 0.750
Hg 0.000 0.000 0.395
Hg 0.000 0.000 0.605
Hg 0.500 0.500 0.105
Hg 0.500 0.500 0.895

=====

## Q
The following is a DFT calculation (PBE-GGA) of TlCd2Hg2 after structural relaxation.

Results
Mass density (g cm⁻³): 9.95
Total magnetic moment (μB per formula unit): 0.00
N(E_F) (states/eV/f.u.): 1.77

Unit cell a=4.448 b=4.448 c=14.010 alpha=90.00 beta=90.00 gamma=90.00
Atoms (fractional coordinates):
Tl 0.000 0.000 0.000
Tl 0.500 0.500 0.500
Cd 0.000 0.000 0.398
Cd 0.000 0.000 0.602
Cd 0.500 0.500 0.102
Cd 0.500 0.500 0.898
Hg 0.000 0.500 0.250
Hg 0.000 0.500 0.750
Hg 0.500 0.000 0.250
Hg 0.500 0.000 0.750

=====

Out of the structures above, which one is the least stable? Solution: Q.